VASP calculation (PBEsol) on LiHgSb3 after structural relaxation.

Unit cell a=5.5377 b=5.5377 c=5.5377 alpha=90.00 beta=90.00 gamma=90.00
Atoms (fractional coordinates):
Li 0.0000 0.0000 0.0000
Hg 0.5000 0.5000 0.5000
Sb 0.0000 0.5000 0.5000
Sb 0.5000 0.0000 0.5000
Sb 0.5000 0.5000 0.0000

Output
The value obtained for the density of states at the Fermi level is 4.2 states/eV/cell. The total energy comes out at -2.649 eV/atom. The calculation puts the formation energy from raw total energies at 0.59 eV per atom. Its symmetry is Pm-3m, No. 221.